No. 1
A relaxed ZrPSe crystal, computed with PBE.

Cell: 5.0702 5.0702 5.0702 Å, 139.54 139.54 58.56°
Closest atoms and distances in Å follow each position.
Element x y z (fractional)
Zr1 0.0000 0.0000 0.0000  4 P 2.77, 5 Se 2.89-2.94
P1 0.3605 0.3605 0.0000  5 Se 2.72-3.01, 4 Zr 2.77
Se1 0.6681 0.6681 0.0000  5 P 2.72-3.01, 5 Zr 2.89-2.94

Output
space group: I4mm
D(E_F): 0.778 states/eV/atom
total DFT energy (no corrections): -19.88 eV/cell

No. 2
A relaxed ZrPSe2 crystal, computed with PBE.

Cell: 5.0911 5.0911 3.9743 Å, 106.50 106.50 113.29°
Closest atoms and distances in Å follow each position.
Element x y z (fractional)
Zr1 0.0000 0.0000 0.0000  4 Se 2.75, 2 P 2.80
P1 0.5000 0.5000 0.0000  4 Se 2.75, 2 Zr 2.80
Se1 0.0000 0.5000 0.5000  2 Zr 2.75, 2 P 2.75, 2 Se 2.80
Se2 0.5000 0.0000 0.5000  2 Zr 2.75, 2 P 2.75, 2 Se 2.80

Output
space group: C2/m
D(E_F): 0.640 states/eV/atom
total DFT energy (no corrections): -22.08 eV/cell

No. 3
A relaxed Zr3PSe crystal, computed with PBE.

Cell: 4.9008 4.9008 4.9008 Å, 90.00 90.00 90.00°
Closest atoms and distances in Å follow each position.
Element x y z (fractional)
Zr1 0.0000 0.0000 0.5000  2 P 2.45
Zr2 0.0000 0.5000 0.0000  2 P 2.45
Zr3 0.5000 0.0000 0.0000  2 P 2.45
P1 0.0000 0.0000 0.0000  6 Zr 2.45
Se1 0.5000 0.5000 0.5000  12 Zr 3.47

Output
space group: Pm-3m
D(E_F): 1.706 states/eV/atom
total DFT energy (no corrections): -35.54 eV/cell

No. 4
A relaxed ZrPSe2 crystal, computed with PBE.

Cell: 3.3920 3.3920 6.6475 Å, 90.00 90.00 90.00°
Closest atoms and distances in Å follow each position.
Element x y z (fractional)
Zr1 0.0000 0.0000 0.0000  8 Se 2.84
P1 0.0000 0.0000 0.5000  8 Se 3.01, 2 Zr 3.32
Se1 0.5000 0.5000 0.2275  4 Zr 2.84, 4 P 3.01, 1 Se 3.02
Se2 0.5000 0.5000 0.7725  4 Zr 2.84, 4 P 3.01, 1 Se 3.02

Output
space group: P4/mmm
D(E_F): 0.489 states/eV/atom
total DFT energy (no corrections): -22.41 eV/cell

No. 5
A relaxed ZrPSe2 crystal, computed with PBE.

Cell: 3.4381 3.4381 7.6540 Å, 90.00 90.00 90.00°
Closest atoms and distances in Å follow each position.
Element x y z (fractional)
Zr1 0.0000 0.0000 0.0000  4 P 2.68, 5 Se 2.75-2.88
P1 0.5000 0.5000 0.1461  5 Se 2.66-2.93, 4 Zr 2.68
Se1 0.0000 0.0000 0.3598  1 Zr 2.75, 4 P 2.93
Se2 0.5000 0.5000 0.7982  1 P 2.66, 4 Zr 2.88

Output
space group: P4mm
D(E_F): 0.276 states/eV/atom
total DFT energy (no corrections): -23.40 eV/cell

No. 6
A relaxed ZrPSe2 crystal, computed with PBE.

Cell: 2.9945 2.9945 10.5966 Å, 90.00 90.00 101.29°
Closest atoms and distances in Å follow each position.
Element x y z (fractional)
Zr1 0.0000 0.0000 0.0000  2 P 2.62, 2 Se 2.76
P1 0.5000 0.5000 0.1705  2 Zr 2.62
Se1 0.0000 0.0000 0.4729  4 Se 2.99
Se2 0.5000 0.5000 0.8114  4 Zr 2.76-3.06, 4 Se 2.99

Output
space group: Cmm2
D(E_F): 0.730 states/eV/atom
total DFT energy (no corrections): -21.72 eV/cell

No. 7
A relaxed ZrPSe2 crystal, computed with PBE.

Cell: 7.8154 7.8154 7.8154 Å, 153.27 152.60 38.65°
Closest atoms and distances in Å follow each position.
Element x y z (fractional)
Zr1 0.0000 0.0000 0.0000  2 P 2.73, 6 Se 2.80-2.84
P1 0.8614 0.3614 0.5000  4 Se 2.59, 2 Zr 2.73
Se1 0.3571 0.8571 0.5000  4 P 2.59, 2 Zr 2.80
Se2 0.5797 0.5797 0.0000  4 Zr 2.84

Output
space group: Imm2
D(E_F): 0.282 states/eV/atom
total DFT energy (no corrections): -24.10 eV/cell

No. 8
A relaxed ZrPSe crystal, computed with PBE.

Cell: 4.5567 4.5567 4.5567 Å, 60.00 60.00 60.00°
Closest atoms and distances in Å follow each position.
Element x y z (fractional)
Zr1 0.0000 0.0000 0.0000  4 Se 2.79, 4 P 2.79
P1 0.2500 0.2500 0.2500  4 Zr 2.79
Se1 0.7500 0.7500 0.7500  4 Zr 2.79

Output
space group: F-43m
D(E_F): 1.037 states/eV/atom
total DFT energy (no corrections): -19.22 eV/cell

No. 9
A relaxed ZrPSe2 crystal, computed with PBE.

Cell: 4.7838 4.7838 6.0165 Å, 92.63 92.63 44.41°
Closest atoms and distances in Å follow each position.
Element x y z (fractional)
Zr1 0.0000 0.0000 0.0000  3 P 2.62-2.63, 4 Se 2.75-2.81
P1 0.2897 0.2897 0.9212  1 Se 2.35, 3 Zr 2.62-2.63
Se1 0.4753 0.4753 0.6553  1 P 2.35
Se2 0.6753 0.6753 0.2598  2 Zr 2.81, 2 P 2.94, 1 Se 3.04

Output
space group: Cm
D(E_F): 0.603 states/eV/atom
total DFT energy (no corrections): -23.51 eV/cell

No. 10
A relaxed Zr4PSe5 crystal, computed with PBE.

Cell: 8.5094 8.5094 7.6711 Å, 101.61 101.61 25.54°
Closest atoms and distances in Å follow each position.
Element x y z (fractional)
Zr1 0.0004 0.0004 0.2323  2 P 2.59, 4 Se 2.69-2.79
Zr2 0.9996 0.9996 0.7677  2 P 2.59, 4 Se 2.69-2.79
Zr3 0.3415 0.3415 0.9235  1 P 2.57, 5 Se 2.69-2.79
Zr4 0.6585 0.6585 0.0765  1 P 2.57, 5 Se 2.69-2.79
P1 0.5000 0.5000 0.0000  6 Zr 2.57-2.59
Se1 0.1658 0.1658 0.3301  3 Zr 2.69
Se2 0.1703 0.1703 0.8196  4 Zr 2.76-2.79
Se3 0.5000 0.5000 0.5000  4 Zr 2.79
Se4 0.8297 0.8297 0.1804  4 Zr 2.76-2.79
Se5 0.8342 0.8342 0.6699  3 Zr 2.69

Output
space group: C2/m
D(E_F): 0.390 states/eV/atom
total DFT energy (no corrections): -70.62 eV/cell

No. 11
A relaxed ZrPSe2 crystal, computed with PBE.

Cell: 3.8333 3.8333 5.5087 Å, 90.00 90.00 91.19°
Closest atoms and distances in Å follow each position.
Element x y z (fractional)
Zr1 0.0000 0.0000 0.0000  4 P 2.68-2.74
P1 0.5000 0.5000 0.0000  4 Zr 2.68-2.74
Se1 0.2437 0.7563 0.5000  4 Se 2.67-2.81
Se2 0.7563 0.2437 0.5000  4 Se 2.67-2.81

Output
space group: Cmmm
D(E_F): 0.461 states/eV/atom
total DFT energy (no corrections): -22.33 eV/cell

No. 12
A relaxed Zr3PSe3 crystal, computed with PBE.

Cell: 7.7183 3.8098 10.6831 Å, 90.00 90.84 90.00°
Closest atoms and distances in Å follow each position.
Element x y z (fractional)
Zr1 0.1057 0.2500 0.1204  3 P 2.58-2.60, 3 Se 2.76-2.87
Zr2 0.1179 0.2500 0.6375  1 P 2.57, 5 Se 2.70-2.78
Zr3 0.3413 0.7500 0.8749  2 P 2.56, 4 Se 2.68-2.86
Zr4 0.6587 0.2500 0.1251  2 P 2.56, 4 Se 2.68-2.86
Zr5 0.8821 0.7500 0.3625  1 P 2.57, 5 Se 2.70-2.78
Zr6 0.8943 0.7500 0.8796  3 P 2.58-2.60, 3 Se 2.76-2.87
P1 0.1195 0.2500 0.8777  6 Zr 2.56-2.60
P2 0.8805 0.7500 0.1223  6 Zr 2.56-2.60
Se1 0.1421 0.2500 0.3779  4 Zr 2.76-2.78
Se2 0.3651 0.7500 0.6247  3 Zr 2.68-2.70
Se3 0.3831 0.7500 0.1346  5 Zr 2.79-2.87
Se4 0.6169 0.2500 0.8654  5 Zr 2.79-2.87
Se5 0.6349 0.2500 0.3753  3 Zr 2.68-2.70
Se6 0.8579 0.7500 0.6221  4 Zr 2.76-2.78

Output
space group: P2_1/m
D(E_F): 0.399 states/eV/atom
total DFT energy (no corrections): -102.28 eV/cell